1.
## DyTe3PbAu (PBE-GGA)

Data for a relaxed DyTe3PbAu crystal.

Cell and atoms, written as extended XYZ:
```
24
Lattice="13.138 0.000 0.000 0.000 4.470 0.000 0.000 0.000 12.165" Properties=species:S:1:pos:R:3 pbc="T T T"
Dy 0.267 1.118 2.308
Dy 6.302 3.353 8.391
Dy 6.836 1.118 3.775
Dy 12.872 3.353 9.857
Te 0.437 3.353 4.461
Te 1.322 1.118 11.519
Te 2.553 3.353 8.242
Te 4.016 1.118 2.159
Te 5.248 3.353 5.436
Te 6.132 1.118 10.544
Te 7.007 3.353 1.622
Te 7.891 1.118 6.729
Te 9.122 3.353 10.006
Te 10.585 1.118 3.923
Te 11.817 3.353 0.646
Te 12.701 1.118 7.704
Pb 2.910 1.118 5.472
Pb 3.659 3.353 11.555
Pb 9.479 1.118 0.610
Pb 10.228 3.353 6.693
Au 2.575 3.353 2.790
Au 3.994 1.118 8.873
Au 9.144 3.353 3.293
Au 10.563 1.118 9.375
```

Calculated values
Final energy = -100.361 eV per cell
Magnetic moment = 0.0 μB/f.u.

---

2.
## DyTe3PbAu (PBE-GGA)

Data for a relaxed DyTe3PbAu crystal.

Cell and atoms, written as extended XYZ:
```
24
Lattice="14.635 0.000 0.000 0.000 4.319 0.000 0.000 0.000 11.617" Properties=species:S:1:pos:R:3 pbc="T T T"
Dy 0.122 1.080 2.103
Dy 7.196 3.239 7.912
Dy 7.439 1.080 3.705
Dy 14.513 3.239 9.514
Te 1.582 1.080 10.951
Te 1.807 3.239 7.190
Te 2.201 3.239 2.854
Te 5.117 1.080 8.663
Te 5.510 1.080 1.381
Te 5.736 3.239 5.142
Te 8.899 1.080 6.475
Te 9.125 3.239 10.236
Te 9.518 3.239 2.954
Te 12.434 1.080 8.763
Te 12.828 1.080 4.427
Te 13.053 3.239 0.666
Pb 3.251 1.080 5.138
Pb 4.067 3.239 10.947
Pb 10.568 1.080 0.671
Pb 11.384 3.239 6.479
Au 0.116 3.239 4.725
Au 7.201 1.080 10.534
Au 7.434 3.239 1.084
Au 14.518 1.080 6.892
```

Calculated values
Final energy = -101.040 eV per cell
Magnetic moment = 0.0 μB/f.u.

---

3.
## DyYPb2Au2 (PBE-GGA)

Data for a relaxed DyYPb2Au2 crystal.

Cell and atoms, written as extended XYZ:
```
6
Lattice="4.786 0.000 0.000 -2.393 4.145 0.000 0.000 0.000 7.556" Properties=species:S:1:pos:R:3 pbc="T T T"
Dy 0.000 0.000 0.000
Y 0.000 0.000 3.774
Pb 0.000 2.763 5.835
Pb 2.393 1.382 2.059
Au 0.000 2.763 1.243
Au 2.393 1.382 5.036
```

Calculated values
Final energy = -28.730 eV per cell
Magnetic moment = 0.0 μB/f.u.